! Be3Au2, optimized geometry, DFT PBE-GGA; values from VASP
&SYSTEM
  ibrav = 0, nat = 15, ntyp = 2
/
ATOMIC_SPECIES
Be 9.01 Be.upf
Au 196.97 Au.upf
CELL_PARAMETERS angstrom
2.847 0.000 0.000
-1.423 2.466 0.000
0.000 0.000 28.008
ATOMIC_POSITIONS crystal
Be 0.000 0.000 0.000
Be 0.000 0.000 0.196
Be 0.000 0.000 0.804
Be 0.333 0.667 0.471
Be 0.333 0.667 0.667
Be 0.333 0.667 0.862
Be 0.667 0.333 0.138
Be 0.667 0.333 0.333
Be 0.667 0.333 0.529
Au 0.000 0.000 0.401
Au 0.000 0.000 0.599
Au 0.333 0.667 0.068
Au 0.333 0.667 0.265
Au 0.667 0.333 0.735
Au 0.667 0.333 0.932
! - N(E_F) (states/eV/atom) = 0.50
! - space-group type = R-3m
! - ΔE_f (eV/atom) = 0.222
! - ΔE to the lowest computed polymorph (eV/atom) = 0.217

***

! BeRhSe3, optimized geometry, DFT PBE-GGA; values from VASP
&SYSTEM
  ibrav = 0, nat = 5, ntyp = 3
/
ATOMIC_SPECIES
Be 9.01 Be.upf
Rh 102.91 Rh.upf
Se 78.96 Se.upf
CELL_PARAMETERS angstrom
4.478 0.000 0.000
0.000 4.478 0.000
0.000 0.000 4.478
ATOMIC_POSITIONS crystal
Be 0.000 0.000 0.000
Rh 0.500 0.500 0.500
Se 0.000 0.000 0.500
Se 0.000 0.500 0.000
Se 0.500 0.000 0.000
! - N(E_F) (states/eV/atom) = 0.97
! - space-group type = Pm-3m
! - energy relative to the elements, uncorrected (meV per atom) = 532
! - ΔE to the lowest computed polymorph (eV/atom) = 0.000

***

! HgSbS2I, optimized geometry, DFT PBE-GGA; values from VASP
&SYSTEM
  ibrav = 0, nat = 10, ntyp = 4
/
ATOMIC_SPECIES
Hg 200.59 Hg.upf
Sb 121.76 Sb.upf
S 32.06 S.upf
I 126.90 I.upf
CELL_PARAMETERS angstrom
7.012 0.000 0.000
0.000 5.448 0.000
-0.777 0.000 8.776
ATOMIC_POSITIONS crystal
Hg 0.214 0.250 0.473
Hg 0.786 0.750 0.527
Sb 0.153 0.250 0.906
Sb 0.847 0.750 0.094
S 0.030 0.750 0.350
S 0.140 0.750 0.963
S 0.860 0.250 0.037
S 0.970 0.250 0.650
I 0.498 0.250 0.289
I 0.502 0.750 0.711
! - N(E_F) (states/eV/atom) = 0.00
! - space-group type = P2_1/m
! - energy relative to the elements, uncorrected (meV per atom) = -215

***

! CdSbTe2, optimized geometry, DFT PBE-GGA; values from VASP
&SYSTEM
  ibrav = 0, nat = 16, ntyp = 3
/
ATOMIC_SPECIES
Cd 112.41 Cd.upf
Sb 121.76 Sb.upf
Te 127.60 Te.upf
CELL_PARAMETERS angstrom
7.612 0.000 0.000
0.000 7.612 0.000
0.000 0.000 7.612
ATOMIC_POSITIONS crystal
Cd 0.000 0.000 0.000
Cd 0.000 0.500 0.500
Cd 0.500 0.000 0.500
Cd 0.500 0.500 0.000
Sb 0.250 0.250 0.250
Sb 0.250 0.750 0.750
Sb 0.750 0.250 0.750
Sb 0.750 0.750 0.250
Te 0.000 0.000 0.500
Te 0.000 0.500 0.000
Te 0.250 0.250 0.750
Te 0.250 0.750 0.250
Te 0.500 0.000 0.000
Te 0.500 0.500 0.500
Te 0.750 0.250 0.250
Te 0.750 0.750 0.750
! - N(E_F) (states/eV/atom) = 0.87
! - space-group type = F-43m
! - energy relative to the elements, uncorrected (meV per atom) = 250
! - ΔE to the lowest computed polymorph (eV/atom) = 0.409

***

! NdMnFe2, optimized geometry, DFT PBE-GGA; values from VASP
&SYSTEM
  ibrav = 0, nat = 12, ntyp = 3
/
ATOMIC_SPECIES
Nd 144.24 Nd.upf
Mn 54.94 Mn.upf
Fe 55.84 Fe.upf
CELL_PARAMETERS angstrom
4.001 0.000 0.000
-2.001 3.465 0.000
0.000 0.000 15.289
ATOMIC_POSITIONS crystal
Nd 0.000 0.000 0.000
Nd 0.333 0.667 0.667
Nd 0.667 0.333 0.333
Mn 0.000 0.000 0.500
Mn 0.333 0.667 0.167
Mn 0.667 0.333 0.833
Fe 0.000 0.000 0.193
Fe 0.000 0.000 0.807
Fe 0.333 0.667 0.473
Fe 0.333 0.667 0.860
Fe 0.667 0.333 0.140
Fe 0.667 0.333 0.527
! - N(E_F) (states/eV/atom) = 1.29
! - space-group type = R-3m
! - ΔE_f (eV/atom) = 0.171

***

! TaTi2Nb6, optimized geometry, DFT PBE-GGA; values from VASP
&SYSTEM
  ibrav = 0, nat = 9, ntyp = 3
/
ATOMIC_SPECIES
Ta 180.95 Ta.upf
Ti 47.87 Ti.upf
Nb 92.91 Nb.upf
CELL_PARAMETERS angstrom
5.123 0.000 0.000
0.013 5.311 0.000
2.553 1.343 6.100
ATOMIC_POSITIONS crystal
Ta 0.000 0.000 0.000
Ti 0.186 0.833 0.630
Ti 0.814 0.167 0.370
Nb 0.239 0.361 0.521
Nb 0.254 0.499 0.001
Nb 0.390 0.941 0.218
Nb 0.610 0.059 0.782
Nb 0.746 0.501 0.999
Nb 0.761 0.639 0.479
! - N(E_F) (states/eV/atom) = 1.17
! - space-group type = P-1
! - ΔE_f (eV/atom) = 0.174
! - ΔE to the lowest computed polymorph (eV/atom) = 0.000

***

! KBeCu4, optimized geometry, DFT PBE-GGA; values from VASP
&SYSTEM
  ibrav = 0, nat = 6, ntyp = 3
/
ATOMIC_SPECIES
K 39.10 K.upf
Be 9.01 Be.upf
Cu 63.55 Cu.upf
CELL_PARAMETERS angstrom
0.000 3.595 3.595
3.595 0.000 3.595
3.595 3.595 0.000
ATOMIC_POSITIONS crystal
K 0.000 0.000 0.000
Be 0.750 0.750 0.750
Cu 0.377 0.377 0.377
Cu 0.377 0.377 0.870
Cu 0.377 0.870 0.377
Cu 0.870 0.377 0.377
! - N(E_F) (states/eV/atom) = 0.63
! - space-group type = F-43m
! - ΔE_f (eV/atom) = 0.508

***

! Ho2GaNi3, optimized geometry, DFT PBE-GGA; values from VASP
&SYSTEM
  ibrav = 0, nat = 12, ntyp = 3
/
ATOMIC_SPECIES
Ho 164.93 Ho.upf
Ga 69.72 Ga.upf
Ni 58.69 Ni.upf
CELL_PARAMETERS angstrom
0.000 4.141 7.097
3.631 0.000 7.097
3.631 4.141 0.000
ATOMIC_POSITIONS crystal
Ho 0.244 0.756 0.756
Ho 0.250 0.250 0.250
Ho 0.750 0.750 0.750
Ho 0.756 0.244 0.244
Ga 0.334 0.334 0.666
Ga 0.666 0.666 0.334
Ni 0.166 0.166 0.834
Ni 0.166 0.667 0.333
Ni 0.333 0.834 0.166
Ni 0.667 0.166 0.834
Ni 0.834 0.333 0.667
Ni 0.834 0.834 0.166
! - N(E_F) (states/eV/atom) = 0.66
! - space-group type = Fmmm
! - ΔE_f (eV/atom) = -0.478
! - ΔE to the lowest computed polymorph (eV/atom) = 0.055

***

! SrMg2Re, optimized geometry, DFT PBE-GGA; values from VASP
&SYSTEM
  ibrav = 0, nat = 8, ntyp = 3
/
ATOMIC_SPECIES
Sr 87.62 Sr.upf
Mg 24.30 Mg.upf
Re 186.21 Re.upf
CELL_PARAMETERS angstrom
6.390 0.000 0.000
0.000 8.908 0.000
0.000 0.000 2.995
ATOMIC_POSITIONS crystal
Sr 0.000 0.000 0.000
Sr 0.500 0.500 0.000
Mg 0.250 0.250 0.500
Mg 0.250 0.750 0.500
Mg 0.750 0.250 0.500
Mg 0.750 0.750 0.500
Re 0.000 0.500 0.000
Re 0.500 0.000 0.000
! - N(E_F) (states/eV/atom) = 0.93
! - space-group type = Cmmm
! - ΔE_f (eV/atom) = 0.753
! - ΔE to the lowest computed polymorph (eV/atom) = 0.226

***

! NaLuSn4, optimized geometry, DFT PBE-GGA; values from VASP
&SYSTEM
  ibrav = 0, nat = 6, ntyp = 3
/
ATOMIC_SPECIES
Na 22.99 Na.upf
Lu 174.97 Lu.upf
Sn 118.71 Sn.upf
CELL_PARAMETERS angstrom
0.000 4.374 4.374
4.374 0.000 4.374
4.374 4.374 0.000
ATOMIC_POSITIONS crystal
Na 0.000 0.000 0.000
Lu 0.750 0.750 0.750
Sn 0.375 0.375 0.375
Sn 0.375 0.375 0.874
Sn 0.375 0.874 0.375
Sn 0.874 0.375 0.375
! - N(E_F) (states/eV/atom) = 0.58
! - space-group type = F-43m
! - ΔE_f (eV/atom) = -0.143

***

! CaNdZn4, optimized geometry, DFT PBE-GGA; values from VASP
&SYSTEM
  ibrav = 0, nat = 12, ntyp = 3
/
ATOMIC_SPECIES
Ca 40.08 Ca.upf
Nd 144.24 Nd.upf
Zn 65.41 Zn.upf
CELL_PARAMETERS angstrom
4.550 0.000 0.000
0.000 7.470 0.000
0.000 0.000 7.774
ATOMIC_POSITIONS crystal
Ca 0.000 0.000 0.000
Ca 0.500 0.500 0.500
Nd 0.000 0.500 0.000
Nd 0.500 0.000 0.500
Zn 0.000 0.242 0.333
Zn 0.000 0.242 0.667
Zn 0.000 0.758 0.333
Zn 0.000 0.758 0.667
Zn 0.500 0.258 0.167
Zn 0.500 0.258 0.833
Zn 0.500 0.742 0.167
Zn 0.500 0.742 0.833
! - N(E_F) (states/eV/atom) = 0.76
! - space-group type = Immm
! - ΔE_f (eV/atom) = -0.319
! - ΔE to the lowest computed polymorph (eV/atom) = 0.000

***

! Ta6NbRh, optimized geometry, DFT PBE-GGA; values from VASP
&SYSTEM
  ibrav = 0, nat = 16, ntyp = 3
/
ATOMIC_SPECIES
Ta 180.95 Ta.upf
Nb 92.91 Nb.upf
Rh 102.91 Rh.upf
CELL_PARAMETERS angstrom
3.297 0.000 0.000
0.000 9.233 0.000
0.000 0.000 9.279
ATOMIC_POSITIONS crystal
Ta 0.000 0.000 0.000
Ta 0.000 0.247 0.248
Ta 0.000 0.253 0.748
Ta 0.000 0.500 0.500
Ta 0.000 0.747 0.748
Ta 0.000 0.753 0.248
Ta 0.500 0.000 0.749
Ta 0.500 0.249 0.498
Ta 0.500 0.251 0.998
Ta 0.500 0.500 0.249
Ta 0.500 0.749 0.998
Ta 0.500 0.751 0.498
Nb 0.000 0.000 0.497
Nb 0.000 0.500 0.997
Rh 0.500 0.000 0.246
Rh 0.500 0.500 0.746
! - N(E_F) (states/eV/atom) = 0.71
! - space-group type = Amm2
! - ΔE_f (eV/atom) = -0.187
! - ΔE to the lowest computed polymorph (eV/atom) = 0.000